Entry 1:
Compound: Th4CuSi3Rh12
Source: Alexandria via LeMat-Bulk
Functional: PBE-GGA
Structure: relaxed

Output
N(E_F)	17.8	states/eV per cell
magnetization	0.00	μB/atom
raw formation energy	-56.9	kJ per mole of atoms
crystal system	cubic

abc: 9.0484 9.0484 9.0484
angles: 90.00 90.00 90.00
Closest atoms and distances in Å follow each position.
Space group Im-3m (No. 229)
Inequivalent atoms, fractional coordinates:
Th (0.2500, 0.2500, 0.2500) x8  12 Rh 3.20
Cu (0.0000, 0.0000, 0.0000) x2  6 Rh 2.33
Si (0.0000, 0.0000, 0.5000) x6  6 Rh 2.19-2.26
Rh (0.0000, 0.0000, 0.2578) x12  1 Si 2.19, 1 Cu 2.33
Rh (0.0000, 0.2500, 0.5000) x12  2 Si 2.26

=====

Entry 2:
Compound: LiY2ScFe
Source: Alexandria via LeMat-Bulk
Functional: PBE-GGA
Structure: relaxed

Output
N(E_F)	4.1	states/eV per cell
magnetization	0.00	μB/atom
formation enthalpy at 0 K	0.12	eV/atom
crystal system	tetragonal

abc: 5.2632 5.2632 4.8491
angles: 90.00 90.00 90.00
Closest atoms and distances in Å follow each position.
Space group P4/mmm (No. 123)
Inequivalent atoms, fractional coordinates:
Li (0.0000, 0.0000, 0.0000) x1  8 Y 3.58, 4 Sc 3.72
Y (0.0000, 0.5000, 0.5000) x2  2 Fe 2.63
Sc (0.5000, 0.5000, 0.0000) x1  2 Fe 2.42
Fe (0.5000, 0.5000, 0.5000) x1  2 Sc 2.42, 4 Y 2.63